Material: HoTmHgBi
Method: DFT, PBE-GGA
State: optimized geometry

It has space group F-43m (No. 216), with a = 7.569 Å, b = 7.569 Å, c = 7.569 Å, α = 90.00°, β = 90.00° and γ = 90.00°. The inequivalent atoms are Ho at (0.000, 0.000, 0.000), Tm at (0.000, 0.000, 0.500), Hg at (0.250, 0.250, 0.250) and Bi at (0.250, 0.250, 0.750).

As for the total magnetic moment: 0.0 μB/f.u. Its total energy is -60.198 eV/cell.